Entry 1:
A relaxed Cs2CoPbAu crystal, computed with PBE.

Cell and atoms, written as CIF:
```
data_Cs2CoPbAu
_chemical_formula_sum 'Cs2 Co1 Pb1 Au1'
_cell_length_a 6.874
_cell_length_b 6.874
_cell_length_c 4.798
_cell_angle_alpha 90.00
_cell_angle_beta 90.00
_cell_angle_gamma 90.00
_space_group_name_H-M_alt 'P 4/m m m'
_space_group_IT_number 123
_space_group_name_Hall '-P 4 2'
loop_
_atom_site_label
_atom_site_fract_x
_atom_site_fract_y
_atom_site_fract_z
Cs1 0.000 0.500 0.000
Co1 0.000 0.000 0.000
Pb1 0.500 0.500 0.500
Au1 0.000 0.000 0.500
```

Summary:
Uncorrected energy = -12.89 eV for the cell shown
Crystal system = tetragonal

=====

Entry 2:
A relaxed CsCo2TcAu crystal, computed with PBE.

Cell and atoms, written as CIF:
```
data_CsCo2TcAu
_chemical_formula_sum 'Cs1 Co2 Tc1 Au1'
_cell_length_a 4.641
_cell_length_b 4.641
_cell_length_c 5.775
_cell_angle_alpha 90.00
_cell_angle_beta 90.00
_cell_angle_gamma 90.00
_space_group_name_H-M_alt 'P 4/m m m'
_space_group_IT_number 123
_space_group_name_Hall '-P 4 2'
loop_
_atom_site_label
_atom_site_fract_x
_atom_site_fract_y
_atom_site_fract_z
Cs1 0.000 0.000 0.000
Co1 0.000 0.500 0.000
Tc1 0.500 0.500 0.500
Au1 0.000 0.000 0.500
```

Summary:
Uncorrected energy = -15.29 eV for the cell shown
Crystal system = tetragonal

=====

Entry 3:
A relaxed CsTl2CoAu crystal, computed with PBE.

Cell and atoms, written as CIF:
```
data_CsTl2CoAu
_chemical_formula_sum 'Cs1 Tl2 Co1 Au1'
_cell_length_a 5.135
_cell_length_b 5.135
_cell_length_c 5.408
_cell_angle_alpha 90.00
_cell_angle_beta 90.00
_cell_angle_gamma 90.00
_space_group_name_H-M_alt 'P 4/m m m'
_space_group_IT_number 123
_space_group_name_Hall '-P 4 2'
loop_
_atom_site_label
_atom_site_fract_x
_atom_site_fract_y
_atom_site_fract_z
Cs1 0.000 0.000 0.000
Tl1 0.000 0.500 0.500
Co1 0.500 0.500 0.500
Au1 0.500 0.500 0.000
```

Summary:
Uncorrected energy = -15.35 eV for the cell shown
Crystal system = tetragonal

=====

Entry 4:
A relaxed CsYCo2Au crystal, computed with PBE.

Cell and atoms, written as CIF:
```
data_CsYCo2Au
_chemical_formula_sum 'Cs1 Y1 Co2 Au1'
_cell_length_a 4.711
_cell_length_b 4.711
_cell_length_c 5.869
_cell_angle_alpha 90.00
_cell_angle_beta 90.00
_cell_angle_gamma 90.00
_space_group_name_H-M_alt 'P 4/m m m'
_space_group_IT_number 123
_space_group_name_Hall '-P 4 2'
loop_
_atom_site_label
_atom_site_fract_x
_atom_site_fract_y
_atom_site_fract_z
Cs1 0.000 0.000 0.000
Y1 0.500 0.500 0.500
Co1 0.000 0.500 0.000
Au1 0.000 0.000 0.500
```

Summary:
Uncorrected energy = -16.76 eV for the cell shown
Crystal system = tetragonal

=====

Entry 5:
A relaxed CoCu3Au crystal, computed with PBE.

Cell and atoms, written as CIF:
```
data_CoCu3Au
_chemical_formula_sum 'Co1 Cu3 Au1'
_cell_length_a 4.719
_cell_length_b 4.719
_cell_length_c 4.719
_cell_angle_alpha 90.00
_cell_angle_beta 90.00
_cell_angle_gamma 90.00
_space_group_name_H-M_alt 'P m -3 m'
_space_group_IT_number 221
_space_group_name_Hall '-P 4 2 3'
loop_
_atom_site_label
_atom_site_fract_x
_atom_site_fract_y
_atom_site_fract_z
Co1 0.000 0.000 0.000
Cu1 0.000 0.500 0.500
Au1 0.500 0.500 0.500
```

Summary:
Uncorrected energy = -16.31 eV for the cell shown
ΔE to the lowest computed polymorph = 0.327 eV/atom
Crystal system = cubic

=====

Entry 6:
A relaxed CoCu4Au crystal, computed with PBE.

Cell and atoms, written as CIF:
```
data_CoCu4Au
_chemical_formula_sum 'Co4 Cu16 Au4'
_cell_length_a 6.801
_cell_length_b 6.801
_cell_length_c 6.801
_cell_angle_alpha 90.00
_cell_angle_beta 90.00
_cell_angle_gamma 90.00
_space_group_name_H-M_alt 'F -4 3 m'
_space_group_IT_number 216
_space_group_name_Hall 'F -4 2 3'
loop_
_atom_site_label
_atom_site_fract_x
_atom_site_fract_y
_atom_site_fract_z
Co1 0.000 0.000 0.000
Cu1 0.125 0.125 0.375
Au1 0.250 0.250 0.750
```

Summary:
Uncorrected energy = -102.20 eV for the cell shown
Crystal system = cubic